The following is a DFT calculation (SCAN) of EuCu2 at its PBEsol-relaxed geometry.

Cell and atoms, written as CIF:
```
data_EuCu2
_chemical_formula_sum 'Eu4 Cu8'
_symmetry_space_group_name_H-M 'I m m a'
_symmetry_Int_Tables_number 74
_symmetry_space_group_name_Hall '-I 2b 2'
_cell_length_a 4.317
_cell_length_b 6.952
_cell_length_c 7.285
_cell_angle_alpha 90.00
_cell_angle_beta 90.00
_cell_angle_gamma 90.00
loop_
_atom_site_label
_atom_site_type_symbol
_atom_site_fract_x
_atom_site_fract_y
_atom_site_fract_z
Eu1 Eu 0.000 0.250 0.050
Cu1 Cu 0.000 0.063 0.663
```

Properties
The value obtained for the energy is -28.1566 eV/atom. As for the formation energy from the elements: -12 kJ/mol of atoms.


The following is a DFT calculation (SCAN) of EuCuTeF at its PBEsol-relaxed geometry.

Cell and atoms, written as CIF:
```
data_EuCuTeF
_chemical_formula_sum 'Eu2 Cu2 Te2 F2'
_symmetry_space_group_name_H-M 'P 4/n m m'
_symmetry_Int_Tables_number 129
_cell_length_a 4.138
_cell_length_b 4.138
_cell_length_c 8.941
_cell_angle_alpha 90.00
_cell_angle_beta 90.00
_cell_angle_gamma 90.00
loop_
_symmetry_equiv_pos_as_xyz
'x,y,z'
'-x,-y,-z'
'-y+1/2,x,z'
'y+1/2,-x,-z'
'-x+1/2,-y+1/2,z'
'x+1/2,y+1/2,-z'
'y,-x+1/2,z'
'-y,x+1/2,-z'
'x+1/2,-y,-z'
'-x+1/2,y,z'
'-y,-x,-z'
'y,x,z'
'-x,y+1/2,-z'
'x,-y+1/2,z'
'y+1/2,x+1/2,-z'
'-y+1/2,-x+1/2,z'
loop_
_atom_site_label
_atom_site_type_symbol
_atom_site_fract_x
_atom_site_fract_y
_atom_site_fract_z
Eu1 Eu 0.250 0.250 0.155
Cu1 Cu 0.250 0.750 0.500
Te1 Te 0.250 0.250 0.680
F1 F 0.250 0.750 0.000
```

Properties
The value obtained for the energy is -29.4236 eV/atom. The calculation puts the formation energy (no corrections) at -1998 meV per atom.


The following is a DFT calculation (SCAN) of EuFe4Cu3O12 at its PBEsol-relaxed geometry.

Cell and atoms, written as CIF:
```
data_EuFe4Cu3O12
_chemical_formula_sum 'Eu2 Fe8 Cu6 O24'
_symmetry_space_group_name_H-M 'I m -3'
_symmetry_Int_Tables_number 204
_symmetry_space_group_name_Hall '-I 2 2 3'
_cell_length_a 7.155
_cell_length_b 7.155
_cell_length_c 7.155
_cell_angle_alpha 90.00
_cell_angle_beta 90.00
_cell_angle_gamma 90.00
loop_
_atom_site_label
_atom_site_type_symbol
_atom_site_fract_x
_atom_site_fract_y
_atom_site_fract_z
Eu1 Eu 0.000 0.000 0.000
Fe1 Fe 0.250 0.250 0.250
Cu1 Cu 0.000 0.000 0.500
O1 O 0.000 0.304 0.180
```

Properties
The value obtained for the energy is -13.8549 eV/atom. The calculation puts the formation energy (no corrections) at -1525 meV per atom.


The following is a DFT calculation (SCAN) of EuGa3Cu at its PBEsol-relaxed geometry.

Cell and atoms, written as CIF:
```
data_EuGa3Cu
_chemical_formula_sum 'Eu2 Ga6 Cu2'
_symmetry_space_group_name_H-M 'I -4 m 2'
_symmetry_Int_Tables_number 119
_symmetry_space_group_name_Hall 'I -4 -2'
_cell_length_a 4.136
_cell_length_b 4.136
_cell_length_c 10.603
_cell_angle_alpha 90.00
_cell_angle_beta 90.00
_cell_angle_gamma 90.00
loop_
_atom_site_label
_atom_site_type_symbol
_atom_site_fract_x
_atom_site_fract_y
_atom_site_fract_z
Eu1 Eu 0.000 0.000 0.000
Ga1 Ga 0.000 0.000 0.383
Ga2 Ga 0.000 0.500 0.750
Cu1 Cu 0.000 0.500 0.250
```

Properties
The value obtained for the energy is -24.0884 eV/atom. As for the formation energy from the elements: -48 kJ/mol of atoms.


The following is a DFT calculation (SCAN) of Sr2EuGaCu2O7 at its PBEsol-relaxed geometry.

Cell and atoms, written as CIF:
```
data_Sr2EuGaCu2O7
_chemical_formula_sum 'Sr8 Eu4 Ga4 Cu8 O28'
_symmetry_space_group_name_H-M 'I m a 2'
_symmetry_Int_Tables_number 46
_symmetry_space_group_name_Hall 'I 2 -2a'
_cell_length_a 22.976
_cell_length_b 5.458
_cell_length_c 5.350
_cell_angle_alpha 90.00
_cell_angle_beta 90.00
_cell_angle_gamma 90.00
loop_
_atom_site_label
_atom_site_type_symbol
_atom_site_fract_x
_atom_site_fract_y
_atom_site_fract_z
Sr1 Sr 0.151 0.015 0.000
Eu1 Eu 0.000 0.000 0.002
Ga1 Ga 0.250 0.569 0.961
Cu1 Cu 0.075 0.501 0.002
O1 O 0.065 0.249 0.251
O2 O 0.068 0.750 0.252
O3 O 0.176 0.043 0.526
O4 O 0.250 0.615 0.609
```

Properties
The value obtained for the energy is -16.7359 eV/atom. The calculation puts the formation energy (no corrections) at -2226 meV per atom.


The following is a DFT calculation (SCAN) of Eu2CuGe4O12 at its PBEsol-relaxed geometry.

Cell and atoms, written as CIF:
```
data_Eu2CuGe4O12
_chemical_formula_sum 'Eu2 Cu1 Ge4 O12'
_symmetry_space_group_name_H-M 'P -1'
_symmetry_Int_Tables_number 2
_symmetry_space_group_name_Hall '-P 1'
_cell_length_a 4.834
_cell_length_b 7.291
_cell_length_c 8.091
_cell_angle_alpha 67.12
_cell_angle_beta 86.70
_cell_angle_gamma 76.28
loop_
_atom_site_label
_atom_site_type_symbol
_atom_site_fract_x
_atom_site_fract_y
_atom_site_fract_z
Eu1 Eu 0.056 0.267 0.453
Cu1 Cu 0.000 0.500 0.000
Ge1 Ge 0.415 0.881 0.803
Ge2 Ge 0.455 0.675 0.213
O1 O 0.233 0.568 0.382
O2 O 0.236 0.914 0.610
O3 O 0.241 0.274 0.178
O4 O 0.246 0.808 0.009
O5 O 0.251 0.507 0.810
O6 O 0.414 0.150 0.726
```

Properties
The value obtained for the energy is -16.4431 eV/atom. The calculation puts the formation energy (no corrections) at -2035 meV per atom.


The following is a DFT calculation (SCAN) of EuMg2Cu9 at its PBEsol-relaxed geometry.

Cell and atoms, written as CIF:
```
data_EuMg2Cu9
_chemical_formula_sum 'Eu2 Mg4 Cu18'
_symmetry_space_group_name_H-M 'P 63/m m c'
_symmetry_Int_Tables_number 194
_symmetry_space_group_name_Hall '-P 6c 2c'
_cell_length_a 4.9788
_cell_length_b 4.9788
_cell_length_c 15.7999
_cell_angle_alpha 90.00
_cell_angle_beta 90.00
_cell_angle_gamma 120.00
loop_
_atom_site_label
_atom_site_type_symbol
_atom_site_fract_x
_atom_site_fract_y
_atom_site_fract_z
Eu1 Eu 0.3333 0.6667 0.2500
Mg1 Mg 0.3333 0.6667 0.0325
Cu1 Cu 0.0000 0.0000 0.0000
Cu2 Cu 0.0000 0.0000 0.2500
Cu3 Cu 0.1683 0.3365 0.6225
Cu4 Cu 0.3333 0.6667 0.7500
```

Properties
The value obtained for the energy is -16.8574 eV/atom. As for the formation energy from the elements: -15 kJ/mol of atoms.


The following is a DFT calculation (SCAN) of EuMn4Cu3O12 at its PBEsol-relaxed geometry.

Cell and atoms, written as CIF:
```
data_EuMn4Cu3O12
_chemical_formula_sum 'Eu2 Mn8 Cu6 O24'
_symmetry_space_group_name_H-M 'I m -3'
_symmetry_Int_Tables_number 204
_symmetry_space_group_name_Hall '-I 2 2 3'
_cell_length_a 7.188
_cell_length_b 7.188
_cell_length_c 7.188
_cell_angle_alpha 90.00
_cell_angle_beta 90.00
_cell_angle_gamma 90.00
loop_
_atom_site_label
_atom_site_type_symbol
_atom_site_fract_x
_atom_site_fract_y
_atom_site_fract_z
Eu1 Eu 0.000 0.000 0.000
Mn1 Mn 0.250 0.250 0.250
Cu1 Cu 0.000 0.000 0.500
O1 O 0.000 0.302 0.180
```

Properties
The value obtained for the energy is -14.2771 eV/atom. The calculation puts the formation energy (no corrections) at -1922 meV per atom.


The following is a DFT calculation (SCAN) of Sr2EuNbCu2O8 at its PBEsol-relaxed geometry.

Cell and atoms, written as CIF:
```
data_Sr2EuNbCu2O8
_chemical_formula_sum 'Sr8 Eu4 Nb4 Cu8 O32'
_symmetry_space_group_name_H-M 'I 4/m c m'
_symmetry_Int_Tables_number 140
_symmetry_space_group_name_Hall '-I 4 2c'
_cell_length_a 5.442
_cell_length_b 5.442
_cell_length_c 23.229
_cell_angle_alpha 90.00
_cell_angle_beta 90.00
_cell_angle_gamma 90.00
loop_
_atom_site_label
_atom_site_type_symbol
_atom_site_fract_x
_atom_site_fract_y
_atom_site_fract_z
Sr1 Sr 0.000 0.500 0.101
Eu1 Eu 0.000 0.500 0.250
Nb1 Nb 0.000 0.000 0.000
Cu1 Cu 0.000 0.000 0.179
O1 O 0.000 0.000 0.085
O2 O 0.177 0.323 0.000
O3 O 0.249 0.251 0.316
```

Properties
The value obtained for the energy is -17.5721 eV/atom. The calculation puts the formation energy (no corrections) at -2455 meV per atom.


The following is a DFT calculation (SCAN) of EuCu2O4 at its PBEsol-relaxed geometry.

Cell and atoms, written as CIF:
```
data_EuCu2O4
_chemical_formula_sum 'Eu4 Cu8 O16'
_symmetry_space_group_name_H-M 'I 41/a'
_symmetry_Int_Tables_number 88
_cell_length_a 5.719
_cell_length_b 5.719
_cell_length_c 9.584
_cell_angle_alpha 90.00
_cell_angle_beta 90.00
_cell_angle_gamma 90.00
loop_
_symmetry_equiv_pos_as_xyz
'x,y,z'
'-x,-y,-z'
'-y+3/4,x+1/4,z+1/4'
'y+3/4,-x+1/4,-z+1/4'
'-x+1/2,-y,z+1/2'
'x+1/2,y,-z+1/2'
'y+3/4,-x+3/4,z+3/4'
'-y+3/4,x+3/4,-z+3/4'
'x+1/2,y+1/2,z+1/2'
'-x+1/2,-y+1/2,-z+1/2'
'-y+1/4,x+3/4,z+3/4'
'y+1/4,-x+3/4,-z+3/4'
'-x,-y+1/2,z'
'x,y+1/2,-z'
'y+1/4,-x+1/4,z+1/4'
'-y+1/4,x+1/4,-z+1/4'
loop_
_atom_site_label
_atom_site_type_symbol
_atom_site_fract_x
_atom_site_fract_y
_atom_site_fract_z
Eu1 Eu 0.000 0.250 0.125
Cu1 Cu 0.000 0.000 0.500
O1 O 0.145 0.470 0.325
```

Properties
The value obtained for the energy is -17.2205 eV/atom. The calculation puts the formation energy (no corrections) at -1644 meV per atom.


The following is a DFT calculation (SCAN) of Eu2TiCuO6 at its PBEsol-relaxed geometry.

Cell and atoms, written as CIF:
```
data_Eu2TiCuO6
_chemical_formula_sum 'Eu4 Ti2 Cu2 O12'
_symmetry_space_group_name_H-M 'P 1 21/c 1'
_symmetry_Int_Tables_number 14
_symmetry_space_group_name_Hall '-P 2ybc'
_cell_length_a 5.400
_cell_length_b 5.584
_cell_length_c 9.289
_cell_angle_alpha 90.00
_cell_angle_beta 125.43
_cell_angle_gamma 90.00
loop_
_atom_site_label
_atom_site_type_symbol
_atom_site_fract_x
_atom_site_fract_y
_atom_site_fract_z
Eu1 Eu 0.239 0.055 0.250
Ti1 Ti 0.500 0.000 0.000
Cu1 Cu 0.000 0.000 0.500
O1 O 0.165 0.195 0.957
O2 O 0.260 0.710 0.955
O3 O 0.335 0.024 0.750
```

Properties
The value obtained for the energy is -20.3220 eV/atom. The calculation puts the formation energy (no corrections) at -2718 meV per atom.


The following is a DFT calculation (SCAN) of Eu2CuS3 at its PBEsol-relaxed geometry.

Cell and atoms, written as CIF:
```
data_Eu2CuS3
_chemical_formula_sum 'Eu8 Cu4 S12'
_symmetry_space_group_name_H-M 'P n m a'
_symmetry_Int_Tables_number 62
_symmetry_space_group_name_Hall '-P 2ac 2n'
_cell_length_a 7.983
_cell_length_b 3.912
_cell_length_c 15.348
_cell_angle_alpha 90.00
_cell_angle_beta 90.00
_cell_angle_gamma 90.00
loop_
_atom_site_label
_atom_site_type_symbol
_atom_site_fract_x
_atom_site_fract_y
_atom_site_fract_z
Eu1 Eu 0.085 0.250 0.216
Eu2 Eu 0.244 0.750 0.463
Cu1 Cu 0.122 0.250 0.633
S1 S 0.012 0.250 0.400
S2 S 0.117 0.750 0.072
S3 S 0.182 0.250 0.779
```

Properties
The value obtained for the energy is -27.0215 eV/atom. The calculation puts the formation energy (no corrections) at -1770 meV per atom.